{
  "formula": "LaFeHg2F",
  "functional": "GGA+U",
  "state": "relaxed",
  "cell": [[5.3202, 0.0000, 0.0000], [0.0000, 5.3202, 0.0000], [0.0000, 0.0000, 4.6069]],
  "species": ["La", "Fe", "Hg", "Hg", "F"],
  "frac_coords": [[0.0000, 0.0000, 0.0000], [0.5000, 0.5000, 0.0000], [0.0000, 0.5000, 0.5000], [0.5000, 0.0000, 0.5000], [0.0000, 0.0000, 0.5000]],
  "final_energy_ev_per_atom": -3.200,
  "rho_g_cm3": 7.8
}